(1)
DFT (PBE-GGA) results for crystalline Pm2YReO8 at its relaxed geometry.

a b c (Å): 5.1521 5.1519 6.8785
angles (deg): 90.00 90.00 90.87
Fractional positions:
O (0.8232, 0.1772, 0.2050)
O (0.8232, 0.1772, 0.7950)
O (0.7384, 0.7388, 0.0000)
Y (0.0000, 0.0000, 0.5000)
O (0.1768, 0.8228, 0.2050)
Pm (0.5000, 0.5000, 0.2499)
O (0.3025, 0.3022, 0.5000)
Re (0.0000, 0.0000, 0.0000)
O (0.1768, 0.8228, 0.7950)
O (0.2616, 0.2612, 0.0000)
Pm (0.5000, 0.5000, 0.7501)
O (0.6975, 0.6978, 0.5000)

Computed properties:
- V: 15.2 Å³ per atom
- Raw formation energy: -2.7069 eV per atom

---

(2)
DFT (PBE-GGA) results for crystalline Ca6SbN2 at its relaxed geometry.

a b c (Å): 4.5080 4.5080 10.7152
angles (deg): 102.14 102.14 90.00
Fractional positions:
Ca (0.1059, 0.6059, 0.2118)
Ca (0.8941, 0.3941, 0.7882)
Ca (0.2500, 0.7500, 0.5000)
Sb (0.0000, 0.0000, 0.0000)
Ca (0.6059, 0.1059, 0.2118)
Ca (0.3941, 0.8941, 0.7882)
Ca (0.7500, 0.2500, 0.5000)
N (0.6696, 0.6696, 0.3393)
N (0.3304, 0.3304, 0.6607)

Computed properties:
- V: 23.1 Å³ per atom
- Raw formation energy: -0.3981 eV per atom

---

(3)
DFT (PBE-GGA) results for crystalline NdSmGdZr at its relaxed geometry.

a b c (Å): 5.5739 5.5739 5.5739
angles (deg): 60.00 60.00 60.00
Fractional positions:
Zr (0.2500, 0.2500, 0.2500)
Sm (0.7500, 0.7500, 0.7500)
Nd (0.0000, 0.0000, 0.0000)
Gd (0.5000, 0.5000, 0.5000)

Computed properties:
- V: 30.6 Å³ per atom
- Energy relative to the elements: 0.89 eV per formula unit

---

(4)
DFT (PBE-GGA) results for crystalline ZnHgF4 at its relaxed geometry.

a b c (Å): 5.3364 5.5204 5.5101
angles (deg): 93.76 90.00 90.00
Fractional positions:
Hg (0.5000, 0.0000, 0.5000)
F (0.6568, 0.6090, 0.3257)
F (0.8432, 0.1090, 0.3257)
Zn (0.5000, 0.5000, 0.0000)
F (0.1959, 0.7162, 0.1424)
Hg (0.0000, 0.5000, 0.5000)
Zn (0.0000, 0.0000, 0.0000)
F (0.8041, 0.2838, 0.8576)
F (0.1568, 0.8910, 0.6743)
F (0.3432, 0.3910, 0.6743)
F (0.3041, 0.2162, 0.1424)
F (0.6959, 0.7838, 0.8576)

Computed properties:
- V: 13.5 Å³ per atom
- Raw formation energy: -1.8436 eV per atom

---

(5)
DFT (PBE-GGA) results for crystalline CePuSn at its relaxed geometry.

a b c (Å): 4.6544 4.6544 7.3211
angles (deg): 90.00 90.00 90.00
Fractional positions:
Pu (0.5000, 0.0000, 0.6691)
Pu (0.0000, 0.5000, 0.3309)
Sn (0.0000, 0.0000, 0.0000)
Ce (0.0000, 0.5000, 0.6858)
Sn (0.5000, 0.5000, 0.0000)
Ce (0.5000, 0.0000, 0.3142)

Computed properties:
- V: 26.4 Å³ per atom
- Polymorph energy (0 for the lowest one): 209.3 meV/atom
- Energy relative to the elements: -0.33 eV per formula unit

---

(6)
DFT (PBE-GGA) results for crystalline Sm2MgF8 at its relaxed geometry.

a b c (Å): 4.0907 6.9467 7.0290
angles (deg): 93.28 90.00 107.14
Fractional positions:
Sm (0.2876, 0.5216, 0.2526)
F (0.9409, 0.8094, 0.8461)
F (0.2178, 0.3949, 0.5554)
F (0.4214, 0.8460, 0.1831)
F (0.7645, 0.4754, 0.0996)
Sm (0.7660, 0.4784, 0.7473)
F (0.8231, 0.6053, 0.4445)
Mg (0.2840, 0.0001, 0.0001)
F (0.5747, 0.1541, 0.8167)
F (0.2889, 0.5242, 0.9004)
F (0.1311, 0.1905, 0.1541)

Computed properties:
- V: 17.3 Å³ per atom
- Raw formation energy: -3.8761 eV per atom